Crystalline K16Cd12Hg at its relaxed geometry, computed with PBE.

The structure in POSCAR format:
```
K16Cd12Hg
1.0
6.656 -8.687 0.000
6.656 8.687 0.000
-5.271 0.000 10.309
K Cd Hg
16 12 1
Cartesian
0.000 0.000 0.000 K
2.554 3.308 0.100 K
3.072 3.469 7.413 K
5.787 5.684 5.947 K
1.449 0.000 6.367 K
6.302 1.934 0.136 K
4.731 2.091 3.788 K
2.554 -3.308 0.100 K
6.302 -1.934 0.136 K
8.614 3.361 3.554 K
4.731 -2.091 3.788 K
5.616 0.000 7.369 K
3.072 -3.469 7.413 K
10.993 0.000 3.500 K
8.614 -3.361 3.554 K
5.787 -5.684 5.947 K
2.311 7.081 7.077 Cd
0.286 5.498 8.849 Cd
1.148 1.556 3.078 Cd
-2.027 0.000 8.473 Cd
5.627 5.475 1.766 Cd
3.244 0.000 1.274 Cd
1.148 -1.556 3.078 Cd
10.028 1.571 0.226 Cd
0.286 -5.498 8.849 Cd
5.627 -5.475 1.766 Cd
10.028 -1.571 0.226 Cd
2.311 -7.081 7.077 Cd
7.618 0.000 4.555 Hg
```

E_tot: -1.039 eV per atom
Energy of formation: -44 meV/atom
Spin magnetization: 0.000 μB per atom